No. 1
Here is an optimized crystal structure of Ta6Nb5Ir from the Alexandria database. Energies are from PBE.

```
data_Ta6Nb5Ir
_chemical_formula_sum 'Ta12 Nb10 Ir2'
_cell_length_a 8.0636
_cell_length_b 13.8341
_cell_length_c 4.6843
_cell_angle_alpha 90.00
_cell_angle_beta 125.20
_cell_angle_gamma 90.00
_symmetry_space_group_name_H-M 'C 1 2/m 1'
_symmetry_Int_Tables_number 12
loop_
_symmetry_equiv_pos_as_xyz
'x,y,z'
'-x,-y,-z'
'-x,y,-z'
'x,-y,z'
'x+1/2,y+1/2,z'
'-x+1/2,-y+1/2,-z'
'-x+1/2,y+1/2,-z'
'x+1/2,-y+1/2,z'
loop_
_atom_site_label
_atom_site_type_symbol
_atom_site_fract_x
_atom_site_fract_y
_atom_site_fract_z
Ta1 Ta 0.2467 0.0000 0.2471
Ta2 Ta 0.2485 0.1653 0.7489
Nb1 Nb 0.0000 0.1667 0.0000
Nb2 Nb 0.0000 0.3351 0.5000
Nb3 Nb 0.0000 0.5000 0.0000
Ir1 Ir 0.0000 0.0000 0.5000
```

Calculated values
energy of formation from the pure elements: -0.17 eV/atom
Fermi-level density of states: 29.1 states/eV/cell
uncorrected energy: -11.03 eV/atom
magnetization: 0.00 Bohr magnetons per cell

***

No. 2
Here is an optimized crystal structure of Sr2TlInGe from the Alexandria database. Energies are from PBE.

```
data_Sr2TlInGe
_chemical_formula_sum 'Sr2 Tl1 In1 Ge1'
_cell_length_a 6.0220
_cell_length_b 6.0220
_cell_length_c 5.4192
_cell_angle_alpha 90.00
_cell_angle_beta 90.00
_cell_angle_gamma 90.00
_symmetry_space_group_name_H-M 'P 4/m m m'
_symmetry_Int_Tables_number 123
_symmetry_space_group_name_Hall '-P 4 2'
loop_
_atom_site_label
_atom_site_type_symbol
_atom_site_fract_x
_atom_site_fract_y
_atom_site_fract_z
Sr1 Sr 0.0000 0.5000 0.0000
Tl1 Tl 0.0000 0.0000 0.5000
In1 In 0.5000 0.5000 0.5000
Ge1 Ge 0.0000 0.0000 0.0000
```

Calculated values
energy of formation from the pure elements: -0.08 eV/atom
Fermi-level density of states: 5.9 states/eV/cell
uncorrected energy: -2.70 eV/atom
magnetization: 0.00 Bohr magnetons per cell